SrMg2ZnSi: optimized geometry, PBE-GGA.

Lattice parameters (Å, degrees): 4.4270 4.4270 11.8555 90.00 90.00 90.00
Last column: nearest neighbours and their distance in Å.
Space group I4mm (No. 107)
Symmetry-distinct sites (fractional):
1 Sr 0.0000 0.0000 0.0000 [2 per cell]  4 Si 3.35, 4 Zn 3.38, 4 Mg 3.61
2 Mg 0.0000 0.5000 0.2403 [4 per cell]  2 Si 2.76, 2 Zn 2.85
3 Zn 0.0000 0.0000 0.3917 [2 per cell]  1 Si 2.48
4 Si 0.0000 0.0000 0.6013 [2 per cell]  1 Zn 2.48, 4 Mg 2.76

Summary:
- energy (eV/atom) = -2.59



SrMgZnSi2: optimized geometry, PBE-GGA.

Lattice parameters (Å, degrees): 4.4014 4.4014 10.7323 90.00 90.00 90.00
Last column: nearest neighbours and their distance in Å.
Space group I-4m2 (No. 119)
Symmetry-distinct sites (fractional):
1 Sr 0.0000 0.0000 0.0000 [2 per cell]  8 Si 3.34, 4 Mg 3.47, 4 Zn 3.47
2 Mg 0.0000 0.5000 0.2500 [2 per cell]  4 Si 2.65
3 Zn 0.0000 0.5000 0.7500 [2 per cell]  4 Si 2.65
4 Si 0.0000 0.0000 0.3875 [4 per cell]  1 Si 2.41, 2 Mg 2.65, 2 Zn 2.65

Summary:
- energy (eV/atom) = -3.38



Tm2MgSi2: optimized geometry, PBE-GGA.

Lattice parameters (Å, degrees): 7.0832 7.0832 4.1543 90.00 90.00 90.00
Last column: nearest neighbours and their distance in Å.
Space group P4/mbm (No. 127)
Symmetry-distinct sites (fractional):
1 Tm 0.1779 0.3221 0.0000 [4 per cell]  6 Si 2.91-2.99
2 Mg 0.0000 0.0000 0.5000 [2 per cell]  4 Si 2.83
3 Si 0.1193 0.6193 0.5000 [4 per cell]  1 Si 2.39

Summary:
- magnetic moment (μB/f.u.) = 0.004
- energy (eV/atom) = -4.97



TmMgSi: optimized geometry, PBE-GGA.

Lattice parameters (Å, degrees): 6.5172 6.5172 6.5172 90.00 90.00 90.00
Last column: nearest neighbours and their distance in Å.
Space group F-43m (No. 216)
Symmetry-distinct sites (fractional):
1 Tm 0.0000 0.0000 0.0000 [4 per cell]  4 Si 2.82
2 Mg 0.0000 0.0000 0.5000 [4 per cell]  4 Si 2.82
3 Si 0.2500 0.2500 0.7500 [4 per cell]  4 Tm 2.82, 4 Mg 2.82

Summary:
- magnetic moment (μB/f.u.) = 0.005
- energy (eV/atom) = -4.17



TmMgSi: optimized geometry, PBE-GGA.

Lattice parameters (Å, degrees): 6.7146 6.7146 6.7146 90.00 90.00 90.00
Last column: nearest neighbours and their distance in Å.
Space group F-43m (No. 216)
Symmetry-distinct sites (fractional):
1 Tm 0.0000 0.0000 0.0000 [4 per cell]  4 Si 2.91, 4 Mg 2.91
2 Mg 0.2500 0.2500 0.7500 [4 per cell]  4 Tm 2.91
3 Si 0.2500 0.2500 0.2500 [4 per cell]  4 Tm 2.91

Summary:
- magnetic moment (μB/f.u.) = 0.000
- energy (eV/atom) = -3.65



MgZnSi2: optimized geometry, PBE-GGA.

Lattice parameters (Å, degrees): 6.4188 6.4188 6.4188 90.00 90.00 90.00
Last column: nearest neighbours and their distance in Å.
Space group F-43m (No. 216)
Symmetry-distinct sites (fractional):
1 Mg 0.0000 0.0000 0.0000 [4 per cell]  4 Si 2.78, 4 Zn 2.78
2 Zn 0.2500 0.2500 0.2500 [4 per cell]  4 Mg 2.78, 4 Si 2.78
3 Si 0.0000 0.0000 0.5000 [4 per cell]  4 Zn 2.78, 4 Si 2.78
4 Si 0.2500 0.2500 0.7500 [4 per cell]  4 Mg 2.78, 4 Si 2.78

Summary:
- energy (eV/atom) = -3.12



SmMg: optimized geometry, PBE-GGA.

Lattice parameters (Å, degrees): 3.8796 5.3922 5.5235 90.00 90.00 90.00
Last column: nearest neighbours and their distance in Å.
Space group Pmmn (No. 59, origin choice 2)
Symmetry-distinct sites (fractional):
1 Sm 0.2500 0.2500 0.0633 [2 per cell]  6 Mg 3.35-3.41, 4 Sm 3.39
2 Mg 0.2500 0.7500 0.4427 [2 per cell]  6 Sm 3.35-3.41, 4 Mg 3.38

Summary:
- magnetic moment (μB/f.u.) = 0.010
- energy (eV/atom) = -3.10



SmMg3: optimized geometry, PBE-GGA.

Lattice parameters (Å, degrees): 6.8489 11.6064 5.1933 90.00 90.00 90.00
Last column: nearest neighbours and their distance in Å.
Space group Cmcm (No. 63)
Symmetry-distinct sites (fractional):
1 Sm 0.0000 0.1588 0.2500 [4 per cell]  12 Mg 3.28-3.43
2 Mg 0.0000 0.3339 0.7500 [4 per cell]  8 Mg 3.20-3.41, 4 Sm 3.30-3.43
3 Mg 0.2352 0.4144 0.2500 [8 per cell]  7 Mg 3.20-3.41, 4 Sm 3.28-3.38

Summary:
- magnetic moment (μB/f.u.) = 0.014
- energy (eV/atom) = -2.43